1.
Density functional theory data (GGA-PBE) for RbLaAl2Sn after structural relaxation.

Cell and atoms, written as extended XYZ:
```
5
Lattice="5.4825 0.0000 0.0000 0.0000 5.9183 0.0000 0.0000 0.0000 5.4825" Properties=species:S:1:pos:R:3 pbc="T T T"
Al 0.0000 0.0000 2.7412
Al 2.7412 0.0000 0.0000
La 2.7412 2.9592 2.7412
Rb 0.0000 0.0000 0.0000
Sn 0.0000 2.9592 0.0000
```

Formation enthalpy at 0 K in meV/atom: 1034

---

2.
Density functional theory data (GGA-PBE) for RbLaAlTe4 after structural relaxation.

Cell and atoms, written as extended XYZ:
```
14
Lattice="7.8797 0.0000 0.0298 0.0000 6.6335 0.0000 -3.0518 0.0000 10.0820" Properties=species:S:1:pos:R:3 pbc="T T T"
Te 1.4973 4.9751 5.8638
La 0.3031 1.6584 5.5734
Al 3.7991 1.6584 6.8123
La 4.5248 4.9751 4.5383
Te -2.0806 6.5742 7.2255
Al 1.0288 4.9751 3.2994
Te 3.3306 1.6584 4.2480
Te 3.0019 4.9751 1.6682
Te -2.0806 3.3760 7.2255
Te 6.9085 3.2575 2.8863
Rb 3.0012 4.9751 9.5550
Te 6.9085 0.0593 2.8863
Rb 1.8267 1.6584 0.5567
Te 1.8260 1.6584 8.4435
```

Formation energy from raw total energies in eV per formula unit: -7.1

---

3.
Density functional theory data (GGA-PBE) for Rb3La3AlTe8 after structural relaxation.

Cell and atoms, written as extended XYZ:
```
15
Lattice="9.1557 -0.0003 -0.0002 -4.5781 7.9399 -0.0380 0.0000 -5.2550 8.8295" Properties=species:S:1:pos:R:3 pbc="T T T"
La -2.2891 1.3425 4.3958
Te 4.5776 0.0264 6.2430
Te 2.5251 4.1322 6.0406
La 4.5778 -2.6277 4.4147
Te -0.0001 2.6582 2.5483
Te 7.1034 -1.4477 2.7508
Rb -2.2891 3.9700 -0.0190
Rb 2.2888 3.9698 -0.0191
Te -2.5259 4.1323 6.0405
Al 0.0000 -2.6275 4.4148
Rb 0.0000 0.0000 0.0000
Te -0.0001 -0.2493 6.0599
Te 4.5776 2.9339 2.7315
La 2.2888 1.3423 4.3957
Te 2.0524 -1.4476 2.7507
```

Formation energy from raw total energies in eV per formula unit: -17.2

---

Which V belongs to each record? In order, 177.9, 527.6, 640.0 Å³/cell.
Which total magnetization belongs to each record? In order, 0.00, 0.00, 0.00 Bohr magnetons per cell.
Which raw total energy belongs to each record? In order, -2.44, -4.19, -4.25 eV/atom.